# 1
A relaxed YTa2P crystal. Source: Alexandria via LeMat-Bulk, functional PBE.

Unit cell a=3.7215 b=4.2530 c=4.8041 alpha=90.00 beta=90.00 gamma=90.00
Last column: nearest neighbours and their distance in Å.
Positions (direct):
Y 0.5000 0.0000 0.5000  4 P 2.83, 4 Ta 3.04
Ta 0.0000 0.0000 0.0000  4 Ta 2.83, 4 Y 3.04
Ta 0.5000 0.5000 0.0000  4 Ta 2.83, 4 P 3.04
P 0.0000 0.5000 0.5000  4 Y 2.83, 4 Ta 3.04

Summary:
Its energy of formation from the pure elements is -1.0 kJ per mole of atoms. Its symmetry is No. 47. The magnetization comes out at 0.000 μB per atom. The calculation puts the density of states at the Fermi level at 2.86 states/eV/cell.


# 2
A relaxed VZn2In2 crystal. Source: Alexandria via LeMat-Bulk, functional PBE.

Unit cell a=7.1296 b=7.1296 c=3.8002 alpha=90.00 beta=90.00 gamma=90.00
Last column: nearest neighbours and their distance in Å.
Positions (direct):
Zn 0.3729 0.8729 0.0000  1 Zn 2.56, 2 In 2.74, 2 V 2.81
Zn 0.8729 0.6271 0.0000  1 Zn 2.56, 2 In 2.74, 2 V 2.81
Zn 0.6271 0.1271 0.0000  1 Zn 2.56, 2 In 2.74, 2 V 2.81
Zn 0.1271 0.3729 0.0000  1 Zn 2.56, 2 In 2.74, 2 V 2.81
In 0.1769 0.6769 0.5000  6 Zn 2.74-2.90
In 0.6769 0.8231 0.5000  6 Zn 2.74-2.90
In 0.8231 0.3231 0.5000  6 Zn 2.74-2.90
In 0.3231 0.1769 0.5000  6 Zn 2.74-2.90
V 0.0000 0.0000 0.0000  4 Zn 2.81
V 0.5000 0.5000 0.0000  4 Zn 2.81

Summary:
Its energy of formation from the pure elements is 28.0 kJ per mole of atoms. Its symmetry is No. 127. The magnetization comes out at 0.534 μB per atom. As for the energy relative to the lowest polymorph listed for this composition: 0 meV/atom. The calculation puts the density of states at the Fermi level at 5.79 states/eV/cell.


# 3
A relaxed VAgAsSe2 crystal. Source: Alexandria via LeMat-Bulk, functional PBE.

Unit cell a=4.8084 b=4.8084 c=4.8275 alpha=90.00 beta=90.00 gamma=90.00
Last column: nearest neighbours and their distance in Å.
Positions (direct):
As 0.0000 0.0000 0.5000  2 V 2.41
Se 0.0000 0.5000 0.0000  2 V 2.40
Se 0.5000 0.0000 0.0000  2 V 2.40
Ag 0.5000 0.5000 0.5000  4 As 3.40, 8 Se 3.41
V 0.0000 0.0000 0.0000  4 Se 2.40, 2 As 2.41

Summary:
Its symmetry is No. 123. The magnetization comes out at 0.000 μB per atom. As for the energy relative to the lowest polymorph listed for this composition: 0 meV/atom. The calculation puts the density of states at the Fermi level at 3.03 states/eV/cell. The value obtained for the formation energy without anion corrections is 4.093 kcal/mol of atoms.


# 4
A relaxed Sm3CI7 crystal. Source: Alexandria via LeMat-Bulk, functional PBE.

Unit cell a=7.7213 b=8.6994 c=8.6994 alpha=120.00 beta=90.00 gamma=90.00
Last column: nearest neighbours and their distance in Å.
Positions (direct):
Sm 0.7627 0.4885 0.5115  1 C 2.42
Sm 0.7627 0.4885 0.9769  1 C 2.42
Sm 0.7627 0.0231 0.5115  1 C 2.42
C 0.6798 0.3333 0.6667  3 Sm 2.42
I 0.0111 0.1647 0.8353  2 Sm 3.11
I 0.0111 0.1647 0.3295  2 Sm 3.11
I 0.0036 0.6667 0.3333  3 Sm 3.27
I 0.5367 0.8323 0.1677  2 Sm 3.13
I 0.5367 0.3354 0.1677  2 Sm 3.13
I 0.5367 0.8323 0.6646  2 Sm 3.13
I 0.0111 0.6705 0.8353  2 Sm 3.11

Summary:
Its symmetry is No. 156. The magnetization comes out at 0.183 μB per atom. The calculation puts the density of states at the Fermi level at 6.25 states/eV/cell. The value obtained for the formation energy without anion corrections is -20.991 kcal/mol of atoms.